No. 1
Here is crystalline KY2As at its relaxed geometry from Alexandria. Energies are from PBE.

Lattice parameters (Å, degrees): 3.6292 3.6987 10.3939 90.00 93.07 90.00
Positions (direct):
K 0.0000 0.0000 0.0000
Y 0.4383 0.5000 0.6551
Y 0.5617 0.5000 0.3449
As 0.0000 0.0000 0.5000

Results
- Calculated total energy: -5.021 eV per atom
- SG: P2/m, No. 10
- Energy relative to the elements: -0.3518 eV/atom

***

No. 2
Here is crystalline Ca3Pd2 at its relaxed geometry from Alexandria. Energies are from PBE.

Lattice parameters (Å, degrees): 5.9493 5.9493 5.9493 135.18 116.24 81.29
Positions (direct):
Ca 0.0000 0.0000 0.0000
Ca 0.3004 0.8004 0.5000
Ca 0.6996 0.1996 0.5000
Pd 0.2841 0.5000 0.7841
Pd 0.7159 0.5000 0.2159

Results
- Calculated total energy: -3.859 eV per atom
- SG: Immm, No. 71
- Energy relative to the elements: -0.5812 eV/atom